--- A ---
The following is a DFT calculation (PBE-GGA) of a relaxed structure of InNiC3.

Lattice parameters (Å, degrees): 3.882 3.882 3.882 90.00 90.00 90.00
Sites, in units of the cell vectors:
In: 0.000 0.000 0.000
Ni: 0.500 0.500 0.500
C: 0.000 0.500 0.500
C: 0.500 0.000 0.500
C: 0.500 0.500 0.000

Output
SG: Pm-3m (221)

---

--- B ---
The following is a DFT calculation (PBE-GGA) of a relaxed structure of InNiC3.

Lattice parameters (Å, degrees): 4.264 4.264 4.264 90.00 90.00 90.00
Sites, in units of the cell vectors:
In: 0.000 0.000 0.000
Ni: 0.500 0.500 0.500
C: 0.000 0.000 0.500
C: 0.000 0.500 0.000
C: 0.500 0.000 0.000

Output
SG: Pm-3m (221)

---

Of them, A has the highest stability.

---

--- A ---
The following is a DFT calculation (PBE-GGA) of a relaxed structure of In3NiC.

Lattice parameters (Å, degrees): 4.898 4.898 4.898 90.00 90.00 90.00
Sites, in units of the cell vectors:
In: 0.000 0.000 0.500
In: 0.000 0.500 0.000
In: 0.500 0.000 0.000
Ni: 0.000 0.000 0.000
C: 0.500 0.500 0.500

Output
SG: Pm-3m (221)

---

--- B ---
The following is a DFT calculation (PBE-GGA) of a relaxed structure of In3NiC.

Lattice parameters (Å, degrees): 4.631 4.631 4.631 90.00 90.00 90.00
Sites, in units of the cell vectors:
In: 0.000 0.000 0.500
In: 0.000 0.500 0.000
In: 0.500 0.000 0.000
Ni: 0.500 0.500 0.500
C: 0.000 0.000 0.000

Output
SG: Pm-3m (221)

---

Of them, B has the highest stability.

---

--- A ---
The following is a DFT calculation (PBE-GGA) of a relaxed structure of InC3O.

Lattice parameters (Å, degrees): 3.778 3.778 3.778 90.00 90.00 90.00
Sites, in units of the cell vectors:
In: 0.000 0.000 0.000
C: 0.000 0.500 0.500
C: 0.500 0.000 0.500
C: 0.500 0.500 0.000
O: 0.500 0.500 0.500

Output
SG: Pm-3m (221)

---

--- B ---
The following is a DFT calculation (PBE-GGA) of a relaxed structure of InC3O.

Lattice parameters (Å, degrees): 4.385 4.385 4.385 90.00 90.00 90.00
Sites, in units of the cell vectors:
In: 0.000 0.000 0.000
C: 0.000 0.000 0.500
C: 0.000 0.500 0.000
C: 0.500 0.000 0.000
O: 0.500 0.500 0.500

Output
SG: Pm-3m (221)

---

Of them, A has the highest stability.

---

--- A ---
The following is a DFT calculation (PBE-GGA) of a relaxed structure of InPdC2O.

Lattice parameters (Å, degrees): 3.962 3.962 4.413 90.00 90.00 90.00
Sites, in units of the cell vectors:
In: 0.000 0.000 0.000
Pd: 0.500 0.500 0.500
C: 0.000 0.500 0.500
C: 0.500 0.000 0.500
O: 0.500 0.500 0.000

Output
SG: P4/mmm (123)

---

--- B ---
The following is a DFT calculation (PBE-GGA) of a relaxed structure of InPdC2O.

Lattice parameters (Å, degrees): 3.934 3.934 4.383 90.00 90.00 90.00
Sites, in units of the cell vectors:
In: 0.000 0.000 0.000
Pd: 0.500 0.500 0.000
C: 0.000 0.500 0.500
C: 0.500 0.000 0.500
O: 0.000 0.000 0.500

Output
SG: P4/mmm (123)

---

Of them, A has the highest stability.

---

--- A ---
The following is a DFT calculation (PBE-GGA) of a relaxed structure of InOsC3.

Lattice parameters (Å, degrees): 4.062 4.062 4.062 90.00 90.00 90.00
Sites, in units of the cell vectors:
In: 0.000 0.000 0.000
Os: 0.500 0.500 0.500
C: 0.000 0.500 0.500
C: 0.500 0.000 0.500
C: 0.500 0.500 0.000

Output
SG: Pm-3m (221)

---

--- B ---
The following is a DFT calculation (PBE-GGA) of a relaxed structure of InOsC3.

Lattice parameters (Å, degrees): 4.157 4.157 4.157 90.00 90.00 90.00
Sites, in units of the cell vectors:
In: 0.000 0.000 0.000
Os: 0.500 0.500 0.500
C: 0.000 0.000 0.500
C: 0.000 0.500 0.000
C: 0.500 0.000 0.000

Output
SG: Pm-3m (221)

---

Of them, A has the highest stability.

---

--- A ---
The following is a DFT calculation (PBE-GGA) of a relaxed structure of InPC3.

Lattice parameters (Å, degrees): 4.325 4.325 4.325 90.00 90.00 90.00
Sites, in units of the cell vectors:
In: 0.000 0.000 0.000
P: 0.500 0.500 0.500
C: 0.000 0.000 0.500
C: 0.000 0.500 0.000
C: 0.500 0.000 0.000

Output
SG: Pm-3m (221)

---

--- B ---
The following is a DFT calculation (PBE-GGA) of a relaxed structure of InPC3.

Lattice parameters (Å, degrees): 3.766 3.766 3.766 90.00 90.00 90.00
Sites, in units of the cell vectors:
In: 0.000 0.000 0.000
P: 0.500 0.500 0.500
C: 0.000 0.500 0.500
C: 0.500 0.000 0.500
C: 0.500 0.500 0.000

Output
SG: Pm-3m (221)

---

Of them, B has the highest stability.

---

--- A ---
The following is a DFT calculation (PBE-GGA) of a relaxed structure of InPC.

Lattice parameters (Å, degrees): 2.977 2.977 6.302 103.74 103.74 60.06
Sites, in units of the cell vectors:
In: 0.000 0.000 0.000
P: 0.842 0.842 0.524
C: 0.136 0.136 0.407

Output
SG: Cm (8)

---

--- B ---
The following is a DFT calculation (PBE-GGA) of a relaxed structure of InPC.

Lattice parameters (Å, degrees): 2.908 3.598 5.067 90.21 106.65 90.32
Sites, in units of the cell vectors:
In: 0.000 0.000 0.000
P: 0.769 0.500 0.539
C: 0.166 0.502 0.333

Output
SG: P1 (1)

---

--- C ---
The following is a DFT calculation (PBE-GGA) of a relaxed structure of InPC.

Lattice parameters (Å, degrees): 3.593 3.593 4.762 90.10 90.10 60.02
Sites, in units of the cell vectors:
In: 0.000 0.000 0.000
P: 0.334 0.334 0.560
C: 0.334 0.334 0.209

Output
SG: Cm (8)

---

Of them, A has the highest stability.

---

--- A ---
The following is a DFT calculation (PBE-GGA) of a relaxed structure of InPC2.

Lattice parameters (Å, degrees): 4.119 4.119 4.119 60.00 60.00 60.00
Sites, in units of the cell vectors:
In: 0.000 0.000 0.000
P: 0.500 0.500 0.500
C: 0.250 0.250 0.250
C: 0.750 0.750 0.750

Output
SG: Fm-3m (225)

---

--- B ---
The following is a DFT calculation (PBE-GGA) of a relaxed structure of InPC2.

Lattice parameters (Å, degrees): 5.483 5.483 5.483 128.17 128.17 76.36
Sites, in units of the cell vectors:
In: 0.000 0.000 0.000
In: 0.750 0.250 0.500
P: 0.250 0.750 0.500
P: 0.500 0.500 0.000
C: 0.204 0.625 0.079
C: 0.375 0.454 0.579
C: 0.546 0.125 0.921
C: 0.875 0.796 0.421

Output
SG: I-42d (122)

---

Of them, B has the highest stability.

---

--- A ---
The following is a DFT calculation (PBE-GGA) of a relaxed structure of In2PC.

Lattice parameters (Å, degrees): 4.648 4.648 4.648 60.00 60.00 60.00
Sites, in units of the cell vectors:
In: 0.250 0.250 0.250
In: 0.750 0.750 0.750
P: 0.000 0.000 0.000
C: 0.500 0.500 0.500

Output
SG: Fm-3m (225)

---

--- B ---
The following is a DFT calculation (PBE-GGA) of a relaxed structure of In2PC.

Lattice parameters (Å, degrees): 6.685 6.685 6.685 130.16 130.16 73.15
Sites, in units of the cell vectors:
In: 0.068 0.625 0.943
In: 0.375 0.318 0.443
In: 0.682 0.125 0.057
In: 0.875 0.932 0.557
P: 0.250 0.750 0.500
P: 0.500 0.500 0.000
C: 0.000 0.000 0.000
C: 0.750 0.250 0.500

Output
SG: I-42d (122)

---

Of them, B has the highest stability.

---

--- A ---
The following is a DFT calculation (PBE-GGA) of a relaxed structure of InP2C.

Lattice parameters (Å, degrees): 4.469 4.469 4.469 60.00 60.00 60.00
Sites, in units of the cell vectors:
In: 0.000 0.000 0.000
P: 0.250 0.250 0.250
P: 0.750 0.750 0.750
C: 0.500 0.500 0.500

Output
SG: Fm-3m (225)

---

--- B ---
The following is a DFT calculation (PBE-GGA) of a relaxed structure of InP2C.

Lattice parameters (Å, degrees): 5.593 5.593 5.593 116.61 116.61 95.98
Sites, in units of the cell vectors:
In: 0.000 0.000 0.000
In: 0.750 0.250 0.500
P: 0.235 0.625 0.110
P: 0.375 0.485 0.610
P: 0.515 0.125 0.890
P: 0.875 0.765 0.390
C: 0.250 0.750 0.500
C: 0.500 0.500 0.000

Output
SG: I-42d (122)

---

Of them, B has the highest stability.

---

--- A ---
The following is a DFT calculation (PBE-GGA) of a relaxed structure of InPCS2.

Lattice parameters (Å, degrees): 4.951 4.951 5.098 90.00 90.00 90.00
Sites, in units of the cell vectors:
In: 0.000 0.000 0.000
P: 0.000 0.000 0.500
C: 0.500 0.500 0.500
S: 0.000 0.500 0.000
S: 0.500 0.000 0.000

Output
SG: P4/mmm (123)

---

--- B ---
The following is a DFT calculation (PBE-GGA) of a relaxed structure of InPCS2.

Lattice parameters (Å, degrees): 4.702 4.702 3.711 90.00 90.00 90.00
Sites, in units of the cell vectors:
In: 0.000 0.000 0.000
P: 0.500 0.500 0.000
C: 0.500 0.500 0.500
S: 0.000 0.500 0.500
S: 0.500 0.000 0.500

Output
SG: P4/mmm (123)

---

Of them, B has the highest stability.

---

--- A ---
The following is a DFT calculation (PBE-GGA) of a relaxed structure of InPb3C.

Lattice parameters (Å, degrees): 5.816 5.816 5.816 90.00 90.00 90.00
Sites, in units of the cell vectors:
In: 0.000 0.000 0.000
Pb: 0.000 0.000 0.500
Pb: 0.000 0.500 0.000
Pb: 0.500 0.000 0.000
C: 0.500 0.500 0.500

Output
SG: Pm-3m (221)

---

--- B ---
The following is a DFT calculation (PBE-GGA) of a relaxed structure of InPb3C.

Lattice parameters (Å, degrees): 5.114 5.114 5.114 90.00 90.00 90.00
Sites, in units of the cell vectors:
In: 0.000 0.000 0.000
Pb: 0.000 0.500 0.500
Pb: 0.500 0.000 0.500
Pb: 0.500 0.500 0.000
C: 0.500 0.500 0.500

Output
SG: Pm-3m (221)

---

Of them, B has the highest stability.